Material: Pr8Dy4Tm3
Method: DFT, PBE-GGA
State: relaxed

```
data_Pr8Dy4Tm3
_chemical_formula_sum 'Pr16 Dy8 Tm6'
_space_group_name_H-M_alt 'C 1 2/m 1'
_space_group_IT_number 12
_space_group_name_Hall '-C 2y'
_cell_length_a 13.811
_cell_length_b 12.258
_cell_length_c 6.908
_cell_angle_alpha 90.00
_cell_angle_beta 117.96
_cell_angle_gamma 90.00
loop_
_atom_site_label
_atom_site_type_symbol
_atom_site_fract_x
_atom_site_fract_y
_atom_site_fract_z
Pr1 Pr 0.000 0.206 0.000
Pr2 Pr 0.000 0.254 0.500
Pr3 Pr 0.203 0.000 0.172
Pr4 Pr 0.244 0.500 0.292
Dy1 Dy 0.000 0.500 0.000
Dy2 Dy 0.000 0.500 0.500
Dy3 Dy 0.250 0.250 0.000
Tm1 Tm 0.000 0.000 0.500
Tm2 Tm 0.250 0.250 0.500
```

Calculated values
excess energy over the best structure of this formula in the dataset: 173 meV per atom
ρ: 7.344 g cm⁻³
M_tot: 0.0 μB per formula unit

Material: SmHfCuRh
Method: DFT, PBE-GGA
State: relaxed

```
data_SmHfCuRh
_chemical_formula_sum 'Sm4 Hf4 Cu4 Rh4'
_space_group_name_H-M_alt 'F -4 3 m'
_space_group_IT_number 216
_space_group_name_Hall 'F -4 2 3'
_cell_length_a 6.783
_cell_length_b 6.783
_cell_length_c 6.783
_cell_angle_alpha 90.00
_cell_angle_beta 90.00
_cell_angle_gamma 90.00
loop_
_atom_site_label
_atom_site_type_symbol
_atom_site_fract_x
_atom_site_fract_y
_atom_site_fract_z
Sm1 Sm 0.000 0.000 0.000
Hf1 Hf 0.000 0.000 0.500
Cu1 Cu 0.250 0.250 0.750
Rh1 Rh 0.250 0.250 0.250
```

Calculated values
ρ: 10.540 g cm⁻³
M_tot: 0.0 μB per formula unit
raw total energy: -110.44 eV for the cell shown

Material: ZnMoPd4
Method: DFT, PBE-GGA
State: relaxed

```
data_ZnMoPd4
_chemical_formula_sum 'Zn1 Mo1 Pd4'
_space_group_name_H-M_alt 'P 4/m m m'
_space_group_IT_number 123
_space_group_name_Hall '-P 4 2'
_cell_length_a 2.812
_cell_length_b 2.812
_cell_length_c 11.391
_cell_angle_alpha 90.00
_cell_angle_beta 90.00
_cell_angle_gamma 90.00
loop_
_atom_site_label
_atom_site_type_symbol
_atom_site_fract_x
_atom_site_fract_y
_atom_site_fract_z
Zn1 Zn 0.000 0.000 0.000
Mo1 Mo 0.500 0.500 0.500
Pd1 Pd 0.000 0.000 0.332
Pd2 Pd 0.500 0.500 0.153
```

Calculated values
ρ: 10.819 g cm⁻³
M_tot: 0.0 μB per formula unit
raw total energy: -34.35 eV for the cell shown